# LiMnPO4

A relaxed LiMnPO4 crystal (GGA+U, Alexandria).

The structure in POSCAR format:
```
LiMnPO4
1.0
5.340 0.000 0.000
0.000 8.248 0.005
0.000 2.378 8.273
P O Li Mn
4 16 4 4
Direct
0.680 0.259 0.837
0.174 0.750 0.005
0.320 0.259 0.337
0.826 0.750 0.505
0.904 0.678 0.043
0.299 0.771 0.162
0.096 0.678 0.543
0.804 0.190 0.705
0.701 0.771 0.662
0.179 0.932 0.889
0.392 0.290 0.799
0.303 0.126 0.505
0.608 0.290 0.299
0.813 0.423 0.843
0.187 0.423 0.343
0.676 0.626 0.432
0.697 0.126 0.005
0.324 0.626 0.932
0.821 0.932 0.389
0.196 0.190 0.205
0.677 0.637 0.881
0.837 0.132 0.212
0.323 0.637 0.381
0.163 0.132 0.712
0.663 0.037 0.572
0.337 0.037 0.072
0.176 0.510 0.768
0.824 0.510 0.268
```

## Properties
Magnetic moment in μB per atom: 0.714
N(E_F) in states/eV/f.u.: 0.00
Uncorrected energy in eV per atom: -7.13